Entry 1:
A relaxed structure of LiSc2Ru. Source: Alexandria, functional PBE.

**Electronic total energy**: -6.3276 eV per atom
**E_form**: -0.364 eV per atom
**Theoretical density**: 4.71 Mg/m³
**Energy above the most stable polymorph in this dataset**: 0.0 meV per atom

Cell lengths 4.6200, 4.6200, 4.6200 Å; angles 60.00, 60.00, 60.00 degrees
Closest atoms and distances in Å follow each position.
Fractional positions:
Li1 0.0000 0.0000 0.0000  8 Sc 2.83
Sc1 0.2500 0.2500 0.2500  4 Li 2.83, 4 Ru 2.83
Sc2 0.7500 0.7500 0.7500  4 Li 2.83, 4 Ru 2.83
Ru1 0.5000 0.5000 0.5000  8 Sc 2.83


Entry 2:
A relaxed structure of MgInSb. Source: Alexandria, functional PBE.

**Electronic total energy**: -2.8439 eV per atom
**Theoretical density**: 5.67 Mg/m³
**Energy relative to the elements, uncorrected**: -0.08 eV per formula unit

Cell lengths 6.8470, 6.8470, 6.8470 Å; angles 150.77, 150.77, 41.82 degrees
Closest atoms and distances in Å follow each position.
Fractional positions:
Mg1 0.0000 0.0000 0.0000  4 Sb 3.12, 4 In 3.21, 4 Mg 3.46
In1 0.6632 0.6632 0.0000  4 Mg 3.21, 4 Sb 3.41, 4 In 3.46
Sb1 0.3488 0.3488 0.0000  4 Mg 3.12, 4 In 3.41, 4 Sb 3.46


Entry 3:
A relaxed structure of CdSe5. Source: Alexandria, functional PBE.

**Electronic total energy**: -2.7269 eV per atom
**Theoretical density**: 5.23 Mg/m³
**Energy above the most stable polymorph in this dataset**: 380.7 meV per atom
**Energy relative to the elements, uncorrected**: 1.98 eV per formula unit

Cell lengths 7.2604, 7.2604, 3.5307 Å; angles 90.00, 90.00, 120.00 degrees
Closest atoms and distances in Å follow each position.
Fractional positions:
Cd1 0.0000 0.0000 0.0000  2 Cd 3.53
Se1 0.0000 0.5000 0.5000  4 Se 2.74
Se2 0.3333 0.6667 0.0000  6 Se 2.74
Se3 0.5000 0.0000 0.5000  4 Se 2.74
Se4 0.5000 0.5000 0.5000  4 Se 2.74
Se5 0.6667 0.3333 0.0000  6 Se 2.74